# CsIn2As | the Alexandria database | PBE-GGA | relaxed
data_CsIn2As
_symmetry_space_group_name_H-M 'P 4/n m m'
_symmetry_Int_Tables_number 129
_cell_length_a 4.6788
_cell_length_b 4.6788
_cell_length_c 14.2846
_cell_angle_alpha 90.00
_cell_angle_beta 90.00
_cell_angle_gamma 90.00
loop_
_symmetry_equiv_pos_as_xyz
'x,y,z'
'-x,-y,-z'
'-y+1/2,x,z'
'y+1/2,-x,-z'
'-x+1/2,-y+1/2,z'
'x+1/2,y+1/2,-z'
'y,-x+1/2,z'
'-y,x+1/2,-z'
'x+1/2,-y,-z'
'-x+1/2,y,z'
'-y,-x,-z'
'y,x,z'
'-x,y+1/2,-z'
'x,-y+1/2,z'
'y+1/2,x+1/2,-z'
'-y+1/2,-x+1/2,z'
loop_
_atom_site_label
_atom_site_fract_x
_atom_site_fract_y
_atom_site_fract_z
Cs1 0.2500 0.2500 0.2485
In1 0.2500 0.2500 0.9735
In2 0.2500 0.7500 0.5000
As1 0.2500 0.2500 0.6087
# Energy of formation in eV/atom: -0.168
# DOS at the Fermi energy in states/eV/f.u.: 2.141
# V in Å³/cell: 312.7

***

# KTaW2 | the Alexandria database | PBE-GGA | relaxed
data_KTaW2
_symmetry_space_group_name_H-M 'P 4/m m m'
_symmetry_Int_Tables_number 123
_symmetry_space_group_name_Hall '-P 4 2'
_cell_length_a 4.0047
_cell_length_b 4.0047
_cell_length_c 4.7686
_cell_angle_alpha 90.00
_cell_angle_beta 90.00
_cell_angle_gamma 90.00
loop_
_atom_site_label
_atom_site_fract_x
_atom_site_fract_y
_atom_site_fract_z
K1 0.0000 0.0000 0.0000
Ta1 0.5000 0.5000 0.0000
W1 0.0000 0.5000 0.5000
# Energy of formation in eV/atom: 1.901
# DOS at the Fermi energy in states/eV/f.u.: 5.706
# V in Å³/cell: 76.5
# Energy above the most stable polymorph in this dataset in eV per formula unit: 4.708

***

# CsSmAuO2 | the Alexandria database | PBE-GGA | relaxed
data_CsSmAuO2
_symmetry_space_group_name_H-M 'P 1 2/c 1'
_symmetry_Int_Tables_number 13
_cell_length_a 7.0535
_cell_length_b 5.4735
_cell_length_c 6.7868
_cell_angle_alpha 90.00
_cell_angle_beta 96.89
_cell_angle_gamma 90.00
loop_
_symmetry_equiv_pos_as_xyz
'x,y,z'
'-x,-y,-z'
'-x,y,-z+1/2'
'x,-y,z+1/2'
loop_
_atom_site_label
_atom_site_fract_x
_atom_site_fract_y
_atom_site_fract_z
Cs1 0.0000 0.2215 0.2500
Sm1 0.5000 0.4866 0.7500
Au1 0.5000 0.0000 0.0000
O1 0.3059 0.3741 0.9817
# Formation energy from raw total energies in eV/atom: -1.62
# DOS at the Fermi energy in states/eV/f.u.: 2.195
# V in Å³/cell: 260.1

***

# Ti2Be2Ir | the Alexandria database | PBE-GGA | relaxed
data_Ti2Be2Ir
_symmetry_space_group_name_H-M 'P 4/m b m'
_symmetry_Int_Tables_number 127
_symmetry_space_group_name_Hall '-P 4 2ab'
_cell_length_a 6.2487
_cell_length_b 6.2487
_cell_length_c 3.1805
_cell_angle_alpha 90.00
_cell_angle_beta 90.00
_cell_angle_gamma 90.00
loop_
_atom_site_label
_atom_site_fract_x
_atom_site_fract_y
_atom_site_fract_z
Ti1 0.1749 0.3251 0.0000
Be1 0.1216 0.6216 0.5000
Ir1 0.0000 0.0000 0.5000
# Energy of formation in eV/atom: -0.559
# DOS at the Fermi energy in states/eV/f.u.: 2.911
# V in Å³/cell: 124.2
# Energy above the most stable polymorph in this dataset in eV per formula unit: 0.000